MgCr3 after structural relaxation, computed with PBE.

Cell: 5.539 5.539 4.206 Å, 90.00 90.00 120.00°
Sites, in units of the cell vectors:
Mg (0.333, 0.667, 0.250)
Mg (0.667, 0.333, 0.750)
Cr (0.858, 0.716, 0.250)
Cr (0.284, 0.142, 0.250)
Cr (0.858, 0.142, 0.250)
Cr (0.142, 0.284, 0.750)
Cr (0.716, 0.858, 0.750)
Cr (0.142, 0.858, 0.750)

Output
Magnetization: 0.00 μB/f.u.
Space group: P6_3/mmc (194)
D(E_F): 0.98 states/eV/atom
Energy of formation from the pure elements: 47.1 kJ per mole of atoms
Energy: -7.128 eV per atom